Zr5PtAu after structural relaxation. Source: Alexandria via LeMat-Bulk, functional PBE.

Lattice parameters (Å, degrees): 7.8113 8.1635 9.6765 90.00 97.18 90.00
Closest atoms and distances in Å follow each position.
Space group C2/c (No. 15)
One atom of each set of equivalent atoms:
Zr (0.0000, 0.1408, 0.2500)  2 Pt 2.68, 1 Au 2.93, 2 Zr 2.97
Zr (0.1458, 0.3838, 0.5095)  2 Zr 2.74-2.95, 2 Au 2.79-2.88, 1 Pt 2.94
Zr (0.1866, 0.2039, 0.8376)  1 Pt 2.82, 1 Au 2.89, 1 Zr 2.97
Pt (0.0000, 0.0000, 0.0000)  6 Zr 2.68-2.94
Au (0.0000, 0.5000, 0.2500)  7 Zr 2.79-2.93

Values from the calculation:
The density of states at the Fermi level is 32.28 states/eV per cell. The energy comes out at -7.719 eV per atom. For the energy of formation from the pure elements, the calculation gives -0.282 eV per atom. The total magnetization is 0.00 μB/f.u.



Y4Cd3Sn after structural relaxation. Source: Alexandria via LeMat-Bulk, functional PBE.

Lattice parameters (Å, degrees): 5.2957 5.2957 26.0494 90.00 90.00 120.00
Closest atoms and distances in Å follow each position.
Space group R-3m (No. 166, hexagonal axes)
One atom of each set of equivalent atoms:
Y (0.0000, 0.0000, 0.1240)  7 Cd 3.14-3.25, 1 Sn 3.23
Y (0.0000, 0.0000, 0.3745)  3 Sn 3.24, 5 Cd 3.27-3.38
Cd (0.0000, 0.0000, 0.2446)  8 Y 3.14-3.38
Cd (0.0000, 0.0000, 0.5000)  8 Y 3.25-3.27
Sn (0.0000, 0.0000, 0.0000)  8 Y 3.23-3.24

Values from the calculation:
The density of states at the Fermi level is 24.34 states/eV per cell. The energy comes out at -4.529 eV per atom. For the energy of formation from the pure elements, the calculation gives -0.454 eV per atom. The total magnetization is 0.00 μB/f.u.



K2DyBr5 after structural relaxation. Source: Alexandria via LeMat-Bulk, functional PBE.

Lattice parameters (Å, degrees): 11.6854 11.6831 8.2912 90.00 134.75 90.00
Closest atoms and distances in Å follow each position.
Space group Cm (No. 8)
One atom of each set of equivalent atoms:
K (0.0000, 0.2497, 0.0000)  4 Br 3.30
Dy (0.0625, 0.0000, 0.6238)  5 Br 2.64-2.77
Br (0.1209, 0.2298, 0.7413)  1 Dy 2.77
Br (0.3391, 0.5000, 0.1755)  1 Dy 2.64
Br (0.3512, 0.0000, 0.7422)  1 Dy 2.77
Br (0.3908, 0.5000, 0.7402)  1 Dy 2.77

Values from the calculation:
The density of states at the Fermi level is 0.00 states/eV per cell. The energy comes out at -3.644 eV per atom. As for the energy relative to the lowest polymorph listed for this composition: 81 meV per atom. The total magnetization is 0.00 μB/f.u.



Computed calculated density (g cm⁻³) in order:
9.2 6.4 2.6
Computed calculated volume (Å³ per atom) in order:
21.864 26.361 50.242